This record from Alexandria describes crystalline Ac6Te3IrS2 at its relaxed geometry. The functional is GGA-PBE.

Values from the calculation:
E ... -69.63 eV per cell
E_form (uncorrected) ... -1.537 eV per atom
Density of states at the Fermi level ... 10.7 states/eV/f.u.

Cell: 7.8017 7.8017 8.0975 Å, 99.32 99.32 119.80°
Last column: nearest neighbours and their distance in Å.
Fractional coordinates of all 12 atoms:
Ac 0.0715 0.3935 0.2161  1 Ir 3.01, 2 S 3.12-3.13, 2 Te 3.36
Ac 0.3935 0.0715 0.2161  1 Ir 3.01, 2 S 3.12-3.13, 2 Te 3.36
Ac 0.7496 0.7496 0.2195  1 Ir 3.04, 2 S 3.12, 2 Te 3.39
Ac 0.2504 0.2504 0.7805  1 Ir 3.04, 2 S 3.12, 2 Te 3.39
Ac 0.9285 0.6065 0.7839  1 Ir 3.01, 2 S 3.12-3.13, 2 Te 3.36
Ac 0.6065 0.9285 0.7839  1 Ir 3.01, 2 S 3.12-3.13, 2 Te 3.36
Ir 0.0000 0.0000 0.0000  6 Ac 3.01-3.04
Te 0.1721 0.8279 0.5000  6 Ac 3.36-3.41
Te 0.8279 0.1721 0.5000  6 Ac 3.36-3.41
Te 0.5000 0.5000 0.5000  6 Ac 3.36-3.44
S 0.3339 0.6661 0.0000  6 Ac 3.12-3.13
S 0.6661 0.3339 0.0000  6 Ac 3.12-3.13